# SrTaPS2

A geometry-optimized SrTaPS2 structure (GGA-PBE, Alexandria via LeMat-Bulk).

Output
The value obtained for the calculated volume is 27.87 A^3/atom. For the total magnetic moment, the calculation gives 0.00 μB per formula unit. The offset from the most stable computed form comes out at 2464 meV per atom.

The structure in POSCAR format:
```
SrTaPS2
1.0
5.184 0.000 0.000
0.000 5.184 0.000
0.000 0.000 5.186
Ta P S Sr
1 1 2 1
direct
0.500 0.500 0.500
0.000 0.000 0.500
0.000 0.500 0.000
0.500 0.000 0.000
0.000 0.000 0.000
```